VASP calculation (PBE) on a relaxed SnHg3Ru crystal.

Properties
space-group type: Pm-3m (221)
formation energy: 0.619 eV per atom
ΔE to the lowest computed polymorph: 0.0 meV/atom

a = 5.2172 Å, b = 5.2172 Å, c = 5.2172 Å
α = 90.00°, β = 90.00°, γ = 90.00°
Each line ends with the local moment (μB).
Element x y z (fractional)
Ru 0.0000 0.0000 0.0000  0.56
Hg 0.0000 0.5000 0.0000  0.00
Hg 0.0000 0.0000 0.5000  0.00
Hg 0.5000 0.0000 0.0000  -0.01
Sn 0.5000 0.5000 0.5000  0.02

=====

VASP calculation (PBE) on a relaxed PaZnH2 crystal.

Properties
space-group type: P4/mmm (123)
ΔE to the lowest computed polymorph: 546.6 meV/atom

a = 3.0536 Å, b = 4.1168 Å, c = 4.1168 Å
α = 90.00°, β = 90.00°, γ = 90.00°
Each line ends with the local moment (μB).
Element x y z (fractional)
H 0.0000 0.0000 0.5000  -0.01
H 0.0000 0.5000 0.0000  -0.01
Zn 0.5000 0.0000 0.0000  0.03
Pa 0.5000 0.5000 0.5000  1.19

=====

VASP calculation (PBE) on a relaxed TbSc3Zn2 crystal.

Properties
space-group type: Pmc2_1 (26)
formation energy: -0.233 eV per atom
ΔE to the lowest computed polymorph: 0.0 meV/atom

a = 4.7336 Å, b = 6.4853 Å, c = 8.6379 Å
α = 90.00°, β = 90.00°, γ = 90.00°
Element x y z (fractional)
Tb 0.5000 0.5187 0.5530
Tb 0.5000 0.0187 0.4470
Sc 0.0000 0.4790 0.9460
Sc 0.0000 0.9790 0.0540
Sc 0.5000 0.6702 0.1679
Sc 0.5000 0.1702 0.8321
Sc 0.0000 0.3331 0.3097
Sc 0.0000 0.8331 0.6903
Zn 0.5000 0.7361 0.8566
Zn 0.5000 0.2361 0.1434
Zn 0.0000 0.2630 0.6505
Zn 0.0000 0.7630 0.3495

=====

VASP calculation (PBE) on a relaxed NaNb4O7 crystal.

Properties
space-group type: Cmcm (63)
final energy: -200.70 eV for the cell shown

a = 6.2981 Å, b = 8.6239 Å, c = 8.6239 Å
α = 124.73°, β = 90.00°, γ = 90.00°
Element x y z (fractional)
Na 0.7500 0.7975 0.7975
Na 0.2500 0.2025 0.2025
Nb 0.5000 0.6868 0.3132
Nb 0.0000 0.3132 0.6868
Nb 0.0000 0.6868 0.3132
Nb 0.2500 0.6669 0.9121
Nb 0.2500 0.9121 0.6669
Nb 0.5000 0.3132 0.6868
Nb 0.7500 0.0879 0.3331
Nb 0.7500 0.3331 0.0879
O 0.2500 0.8807 0.8807
O 0.0350 0.4178 0.1997
O 0.7500 0.1193 0.1193
O 0.9650 0.5822 0.8003
O 0.5350 0.8003 0.5822
O 0.2500 0.1668 0.7218
O 0.4650 0.4178 0.1997
O 0.0350 0.1997 0.4178
O 0.7500 0.2782 0.8332
O 0.9650 0.8003 0.5822
O 0.2500 0.7218 0.1668
O 0.4650 0.1997 0.4178
O 0.7500 0.8332 0.2782
O 0.5350 0.5822 0.8003

=====

VASP calculation (PBE) on a relaxed PrAl7Ni5 crystal.

Properties
space-group type: Imm2 (44)
formation energy: -0.556 eV per atom

a = 5.0163 Å, b = 6.6199 Å, c = 6.6199 Å
α = 82.73°, β = 67.74°, γ = 67.74°
Element x y z (fractional)
Pr 0.0057 0.9943 0.9943
Al 0.6534 0.3466 0.3466
Al 0.3443 0.6557 0.6557
Al 0.9836 0.3632 0.6695
Al 0.9836 0.6695 0.3632
Al 0.2715 0.2285 0.2285
Al 0.5104 0.7778 0.2014
Al 0.5104 0.2014 0.7778
Ni 0.4989 0.0082 0.4902
Ni 0.0027 0.0082 0.4902
Ni 0.4989 0.4902 0.0082
Ni 0.0027 0.4902 0.0082
Ni 0.7337 0.7663 0.7663

=====

VASP calculation (PBE) on a relaxed Pr6NdHg2 crystal.

Properties
space-group type: C2/c (15)
formation energy: -0.145 eV per atom
ΔE to the lowest computed polymorph: 65.5 meV/atom

a = 6.3080 Å, b = 9.8700 Å, c = 9.8700 Å
α = 73.01°, β = 85.44°, γ = 85.44°
Element x y z (fractional)
Pr 0.4949 0.6789 0.4385
Pr 0.0051 0.5615 0.3211
Pr 0.5051 0.3211 0.5615
Pr 0.9949 0.4385 0.6789
Pr 0.6690 0.1028 0.3512
Pr 0.8310 0.6488 0.8972
Pr 0.3310 0.8972 0.6488
Pr 0.1690 0.3512 0.1028
Pr 0.3096 0.7301 0.0343
Pr 0.1904 0.9657 0.2699
Pr 0.6904 0.2699 0.9657
Pr 0.8096 0.0343 0.7301
Nd 0.2500 0.1047 0.8953
Nd 0.7500 0.8953 0.1047
Hg 0.4039 0.5386 0.7917
Hg 0.0961 0.2083 0.4614
Hg 0.5961 0.4614 0.2083
Hg 0.9039 0.7917 0.5386

=====

VASP calculation (PBE) on a relaxed Y8Ge5P crystal.

Properties
space-group type: I-4 (82)
formation energy: -0.960 eV per atom

a = 7.6258 Å, b = 7.6258 Å, c = 7.6258 Å
α = 109.62°, β = 109.17°, γ = 109.62°
Element x y z (fractional)
Y 0.1274 0.7460 0.0034
Y 0.9966 0.1240 0.7426
Y 0.7575 0.2491 0.3735
Y 0.6265 0.3840 0.8756
Y 0.4916 0.6160 0.2425
Y 0.6186 0.8760 0.8726
Y 0.2574 0.2540 0.3814
Y 0.1244 0.7509 0.5084
Ge 0.9999 0.3742 0.1251
Ge 0.8749 0.8748 0.2491
Ge 0.7509 0.6258 0.6257
Ge 0.5000 0.0000 0.5000
Ge 0.3743 0.1252 0.0001
P 0.2500 0.5000 0.7500

=====

VASP calculation (PBE) on a relaxed PmNd5Cd4 crystal.

Properties
space-group type: P4/mmm (123)
formation energy: -0.246 eV per atom

a = 3.8055 Å, b = 3.8055 Å, c = 20.6964 Å
α = 90.00°, β = 90.00°, γ = 90.00°
Each line ends with the local moment (μB).
Element x y z (fractional)
Pm 0.0000 0.0000 0.0000  0.00
Nd 0.5000 0.5000 0.1202  0.02
Nd 0.5000 0.5000 0.3108  0.16
Nd 0.5000 0.5000 0.5000  0.16
Nd 0.5000 0.5000 0.6892  0.16
Nd 0.5000 0.5000 0.8798  0.02
Cd 0.0000 0.0000 0.2140  0.01
Cd 0.0000 0.0000 0.4049  0.01
Cd 0.0000 0.0000 0.5951  0.01
Cd 0.0000 0.0000 0.7860  0.01